The following is a DFT calculation (PBE-GGA) of a relaxed structure of Bi10Te10Os.

Results
DFT total energy	-3.94	eV/atom
total moment	0.02	μB/f.u.

```
Bi10Te10Os
1.0
-8.349 -1.885 -1.789
3.124 -2.521 -11.920
2.154 -12.604 3.230
Bi Te Os
20 20 2
direct
0.278 0.369 0.924
0.500 0.863 0.337
0.722 0.369 0.924
0.249 0.500 0.500
0.722 0.631 0.076
0.500 0.137 0.663
0.249 0.000 0.000
0.000 0.728 0.926
0.000 0.228 0.574
0.751 0.000 0.000
0.500 0.363 0.163
0.000 0.772 0.426
0.278 0.869 0.576
0.722 0.869 0.576
0.722 0.131 0.424
0.500 0.637 0.837
0.000 0.272 0.074
0.278 0.631 0.076
0.278 0.131 0.424
0.751 0.500 0.500
0.000 0.996 0.660
0.723 0.670 0.317
0.000 0.627 0.616
0.000 0.127 0.884
0.500 0.850 0.097
0.000 0.504 0.160
0.723 0.830 0.817
0.500 0.150 0.903
0.723 0.330 0.683
0.723 0.170 0.183
0.277 0.670 0.317
0.500 0.350 0.403
0.000 0.373 0.384
0.277 0.170 0.183
0.277 0.830 0.817
0.000 0.873 0.116
0.000 0.004 0.340
0.000 0.496 0.840
0.277 0.330 0.683
0.500 0.650 0.597
0.500 0.500 0.000
0.500 0.000 0.500
```



The following is a DFT calculation (PBE-GGA) of a relaxed structure of BaNaNb.

Results
energy relative to the lowest polymorph listed for this composition	0.00	eV per formula unit
total moment	4.73	μB/f.u.

```
BaNaNb
1.0
0.000 4.008 4.008
4.008 0.000 4.008
4.008 4.008 0.000
Ba Nb Na
1 1 1
direct
0.250 0.250 0.250
0.000 0.000 0.000
0.750 0.750 0.750
```